# 1
Computed, not measured: crystalline LuCuSiAg at its relaxed geometry at the PBE level of DFT.

Summary:
* electronic total energy: -17.2 eV/cell
* space group: No. 216
* spin magnetization: 0.0000 μB/atom

Lattice parameters (Å, degrees): 4.589 4.589 4.589 60.00 60.00 60.00
Sites, in units of the cell vectors:
Lu1 0.000 0.000 0.000
Cu1 0.750 0.750 0.750
Si1 0.500 0.500 0.500
Ag1 0.250 0.250 0.250


# 2
Computed, not measured: crystalline LuCuSiAg at its relaxed geometry at the PBE level of DFT.

Summary:
* electronic total energy: -17.1 eV/cell
* space group: No. 216
* spin magnetization: 0.0002 μB/atom

Lattice parameters (Å, degrees): 4.625 4.625 4.625 60.00 60.00 60.00
Sites, in units of the cell vectors:
Lu1 0.000 0.000 0.000
Cu1 0.500 0.500 0.500
Si1 0.250 0.250 0.250
Ag1 0.750 0.750 0.750


# 3
Computed, not measured: crystalline LuCuAgSn at its relaxed geometry at the PBE level of DFT.

Summary:
* electronic total energy: -15.8 eV/cell
* space group: No. 216
* spin magnetization: 0.0002 μB/atom

Lattice parameters (Å, degrees): 4.834 4.834 4.834 60.00 60.00 60.00
Sites, in units of the cell vectors:
Lu1 0.000 0.000 0.000
Cu1 0.500 0.500 0.500
Ag1 0.750 0.750 0.750
Sn1 0.250 0.250 0.250


# 4
Computed, not measured: crystalline LuCuAgSn at its relaxed geometry at the PBE level of DFT.

Summary:
* electronic total energy: -16.3 eV/cell
* space group: No. 216
* spin magnetization: 0.0001 μB/atom

Lattice parameters (Å, degrees): 4.790 4.790 4.790 60.00 60.00 60.00
Sites, in units of the cell vectors:
Lu1 0.000 0.000 0.000
Cu1 0.750 0.750 0.750
Ag1 0.250 0.250 0.250
Sn1 0.500 0.500 0.500


| no. | excess energy over the best structure of this formula in the dataset (meV/atom) | volume (Å³ per cell) |
| --- | --- | --- |
| 1 | 0 | 68 |
| 2 | 8 | 70 |
| 3 | 108 | 80 |
| 4 | 0 | 78 |